1.
# Hg2TeSe (PBEsol, optimized geometry)
# Crystal system   tetragonal
# Relative energy among the computed polymorphs   0 meV/atom
# Formation energy (no corrections)   -0.164 eV/atom
# Total moment   0.0 μB per cell
data_Hg2TeSe
_chemical_formula_sum 'Hg8 Te4 Se4'
_space_group_name_H-M_alt 'I -4 2 d'
_space_group_IT_number 122
_space_group_name_Hall 'I -4 2bw'
_cell_length_a 6.322
_cell_length_b 6.322
_cell_length_c 12.629
_cell_angle_alpha 90.00
_cell_angle_beta 90.00
_cell_angle_gamma 90.00
loop_
_atom_site_label
_atom_site_type_symbol
_atom_site_fract_x
_atom_site_fract_y
_atom_site_fract_z
Hg1 Hg 0.231 0.250 0.125
Te1 Te 0.000 0.000 0.500
Se1 Se 0.000 0.000 0.000

2.
# Hg2TeSe (PBEsol, optimized geometry)
# Crystal system   tetragonal
# Relative energy among the computed polymorphs   373 meV/atom
# Formation energy (no corrections)   0.208 eV/atom
# Total moment   0.0 μB per cell
data_Hg2TeSe
_chemical_formula_sum 'Hg2 Te1 Se1'
_space_group_name_H-M_alt 'P 4/m m m'
_space_group_IT_number 123
_space_group_name_Hall '-P 4 2'
_cell_length_a 4.064
_cell_length_b 4.064
_cell_length_c 5.905
_cell_angle_alpha 90.00
_cell_angle_beta 90.00
_cell_angle_gamma 90.00
loop_
_atom_site_label
_atom_site_type_symbol
_atom_site_fract_x
_atom_site_fract_y
_atom_site_fract_z
Hg1 Hg 0.000 0.000 0.243
Te1 Te 0.500 0.500 0.500
Se1 Se 0.500 0.500 0.000

3.
# HgTeSe2 (PBEsol, optimized geometry)
# Crystal system   monoclinic
# Relative energy among the computed polymorphs   141 meV/atom
# Formation energy (no corrections)   0.047 eV/atom
# Total moment   0.0 μB per cell
data_HgTeSe2
_chemical_formula_sum 'Hg1 Te1 Se2'
_space_group_name_H-M_alt 'P 1 2/m 1'
_space_group_IT_number 10
_cell_length_a 2.985
_cell_length_b 4.154
_cell_length_c 8.073
_cell_angle_alpha 90.00
_cell_angle_beta 91.29
_cell_angle_gamma 90.00
loop_
_space_group_symop_operation_xyz
'x,y,z'
'-x,-y,-z'
'-x,y,-z'
'x,-y,z'
loop_
_atom_site_label
_atom_site_type_symbol
_atom_site_fract_x
_atom_site_fract_y
_atom_site_fract_z
Hg1 Hg 0.000 0.000 0.000
Te1 Te 0.000 0.000 0.500
Se1 Se 0.004 0.500 0.753

4.
# HgTeSe2 (PBEsol, optimized geometry)
# Crystal system   monoclinic
# Relative energy among the computed polymorphs   0 meV/atom
# Formation energy (no corrections)   -0.094 eV/atom
# Total moment   0.0 μB per cell
data_HgTeSe2
_chemical_formula_sum 'Hg2 Te2 Se4'
_space_group_name_H-M_alt 'C 1 2/m 1'
_space_group_IT_number 12
_cell_length_a 7.587
_cell_length_b 3.981
_cell_length_c 7.383
_cell_angle_alpha 90.00
_cell_angle_beta 109.18
_cell_angle_gamma 90.00
loop_
_space_group_symop_operation_xyz
'x,y,z'
'-x,-y,-z'
'-x,y,-z'
'x,-y,z'
'x+1/2,y+1/2,z'
'-x+1/2,-y+1/2,-z'
'-x+1/2,y+1/2,-z'
'x+1/2,-y+1/2,z'
loop_
_atom_site_label
_atom_site_type_symbol
_atom_site_fract_x
_atom_site_fract_y
_atom_site_fract_z
Hg1 Hg 0.000 0.000 0.000
Te1 Te 0.000 0.500 0.500
Se1 Se 0.183 0.000 0.763

5.
# Hg2TeSe (PBEsol, optimized geometry)
# Crystal system   monoclinic
# Relative energy among the computed polymorphs   216 meV/atom
# Formation energy (no corrections)   0.052 eV/atom
# Total moment   0.0 μB per cell
data_Hg2TeSe
_chemical_formula_sum 'Hg2 Te1 Se1'
_space_group_name_H-M_alt 'P 1 m 1'
_space_group_IT_number 6
_cell_length_a 2.913
_cell_length_b 4.106
_cell_length_c 8.441
_cell_angle_alpha 90.00
_cell_angle_beta 99.63
_cell_angle_gamma 90.00
loop_
_space_group_symop_operation_xyz
'x,y,z'
'x,-y,z'
loop_
_atom_site_label
_atom_site_type_symbol
_atom_site_fract_x
_atom_site_fract_y
_atom_site_fract_z
Hg1 Hg 0.000 0.000 0.000
Hg2 Hg 0.403 0.500 0.777
Te1 Te 0.142 0.500 0.269
Se1 Se 0.278 0.000 0.540

6.
# Tl2HgSe (PBEsol, optimized geometry)
# Crystal system   monoclinic
# Relative energy among the computed polymorphs   33 meV/atom
# Formation energy (no corrections)   -0.166 eV/atom
# Total moment   0.0 μB per cell
data_Tl2HgSe
_chemical_formula_sum 'Tl2 Hg1 Se1'
_space_group_name_H-M_alt 'P 1 m 1'
_space_group_IT_number 6
_cell_length_a 4.756
_cell_length_b 4.296
_cell_length_c 5.822
_cell_angle_alpha 90.00
_cell_angle_beta 108.19
_cell_angle_gamma 90.00
loop_
_space_group_symop_operation_xyz
'x,y,z'
'x,-y,z'
loop_
_atom_site_label
_atom_site_type_symbol
_atom_site_fract_x
_atom_site_fract_y
_atom_site_fract_z
Tl1 Tl 0.000 0.000 0.000
Tl2 Tl 0.247 0.500 0.627
Hg1 Hg 0.647 0.500 0.171
Se1 Se 0.592 0.000 0.491

7.
# Tl2HgSe (PBEsol, optimized geometry)
# Crystal system   tetragonal
# Relative energy among the computed polymorphs   45 meV/atom
# Formation energy (no corrections)   -0.154 eV/atom
# Total moment   0.0 μB per cell
data_Tl2HgSe
_chemical_formula_sum 'Tl8 Hg4 Se4'
_space_group_name_H-M_alt 'I -4 2 d'
_space_group_IT_number 122
_space_group_name_Hall 'I -4 2bw'
_cell_length_a 8.122
_cell_length_b 8.122
_cell_length_c 6.735
_cell_angle_alpha 90.00
_cell_angle_beta 90.00
_cell_angle_gamma 90.00
loop_
_atom_site_label
_atom_site_type_symbol
_atom_site_fract_x
_atom_site_fract_y
_atom_site_fract_z
Tl1 Tl 0.235 0.250 0.125
Hg1 Hg 0.000 0.000 0.500
Se1 Se 0.000 0.000 0.000

8.
# TlHg2Se2 (PBEsol, optimized geometry)
# Crystal system   tetragonal
# Formation energy (no corrections)   -0.053 eV/atom
# Total moment   0.0 μB per cell
data_TlHg2Se2
_chemical_formula_sum 'Tl2 Hg4 Se4'
_space_group_name_H-M_alt 'I 4/m m m'
_space_group_IT_number 139
_space_group_name_Hall '-I 4 2'
_cell_length_a 5.134
_cell_length_b 5.134
_cell_length_c 9.889
_cell_angle_alpha 90.00
_cell_angle_beta 90.00
_cell_angle_gamma 90.00
loop_
_atom_site_label
_atom_site_type_symbol
_atom_site_fract_x
_atom_site_fract_y
_atom_site_fract_z
Tl1 Tl 0.000 0.000 0.000
Hg1 Hg 0.000 0.000 0.363
Se1 Se 0.000 0.500 0.250

9.
# TlHg2Se (PBEsol, optimized geometry)
# Crystal system   tetragonal
# Formation energy (no corrections)   -0.023 eV/atom
# Total moment   0.0 μB per cell
data_TlHg2Se
_chemical_formula_sum 'Tl1 Hg2 Se1'
_space_group_name_H-M_alt 'P 4 m m'
_space_group_IT_number 99
_cell_length_a 3.636
_cell_length_b 3.636
_cell_length_c 7.494
_cell_angle_alpha 90.00
_cell_angle_beta 90.00
_cell_angle_gamma 90.00
loop_
_space_group_symop_operation_xyz
'x,y,z'
'-y,x,z'
'-x,-y,z'
'y,-x,z'
'-x,y,z'
'y,x,z'
'x,-y,z'
'-y,-x,z'
loop_
_atom_site_label
_atom_site_type_symbol
_atom_site_fract_x
_atom_site_fract_y
_atom_site_fract_z
Tl1 Tl 0.000 0.000 0.000
Hg1 Hg 0.000 0.000 0.547
Hg2 Hg 0.500 0.500 0.308
Se1 Se 0.500 0.500 0.760

10.
# TlHgSe2 (PBEsol, optimized geometry)
# Crystal system   trigonal
# Formation energy (no corrections)   -0.013 eV/atom
# Total moment   0.0 μB per cell
data_TlHgSe2
_chemical_formula_sum 'Tl3 Hg3 Se6'
_space_group_name_H-M_alt 'R 3 m'
_space_group_IT_number 160
_space_group_name_Hall 'R 3 -2"'
_cell_length_a 4.3036
_cell_length_b 4.3036
_cell_length_c 18.7392
_cell_angle_alpha 90.00
_cell_angle_beta 90.00
_cell_angle_gamma 120.00
loop_
_atom_site_label
_atom_site_type_symbol
_atom_site_fract_x
_atom_site_fract_y
_atom_site_fract_z
Tl1 Tl 0.0000 0.0000 0.0000
Hg1 Hg 0.0000 0.0000 0.7727
Se1 Se 0.0000 0.0000 0.2602
Se2 Se 0.0000 0.0000 0.4933

11.
# TlHgSe2 (PBEsol, optimized geometry)
# Crystal system   tetragonal
# Formation energy (no corrections)   -0.135 eV/atom
# Total moment   0.0 μB per cell
data_TlHgSe2
_chemical_formula_sum 'Tl4 Hg4 Se8'
_space_group_name_H-M_alt 'I -4 2 d'
_space_group_IT_number 122
_space_group_name_Hall 'I -4 2bw'
_cell_length_a 6.334
_cell_length_b 6.334
_cell_length_c 12.741
_cell_angle_alpha 90.00
_cell_angle_beta 90.00
_cell_angle_gamma 90.00
loop_
_atom_site_label
_atom_site_type_symbol
_atom_site_fract_x
_atom_site_fract_y
_atom_site_fract_z
Tl1 Tl 0.000 0.000 0.000
Hg1 Hg 0.000 0.000 0.500
Se1 Se 0.231 0.250 0.625

12.
# TlHg2Se (PBEsol, optimized geometry)
# Crystal system   trigonal
# Formation energy (no corrections)   -0.122 eV/atom
# Total moment   0.0 μB per cell
data_TlHg2Se
_chemical_formula_sum 'Tl3 Hg6 Se3'
_space_group_name_H-M_alt 'R 3 m'
_space_group_IT_number 160
_space_group_name_Hall 'R 3 -2"'
_cell_length_a 4.1527
_cell_length_b 4.1527
_cell_length_c 21.0618
_cell_angle_alpha 90.00
_cell_angle_beta 90.00
_cell_angle_gamma 120.00
loop_
_atom_site_label
_atom_site_type_symbol
_atom_site_fract_x
_atom_site_fract_y
_atom_site_fract_z
Tl1 Tl 0.0000 0.0000 0.0000
Hg1 Hg 0.0000 0.0000 0.2367
Hg2 Hg 0.0000 0.0000 0.4900
Se1 Se 0.0000 0.0000 0.7496

13.
# Tl2HgSe (PBEsol, optimized geometry)
# Crystal system   cubic
# Relative energy among the computed polymorphs   15 meV/atom
# Formation energy (no corrections)   -0.184 eV/atom
# Total moment   0.0 μB per cell
data_Tl2HgSe
_chemical_formula_sum 'Tl8 Hg4 Se4'
_space_group_name_H-M_alt 'F m -3 m'
_space_group_IT_number 225
_space_group_name_Hall '-F 4 2 3'
_cell_length_a 7.546
_cell_length_b 7.546
_cell_length_c 7.546
_cell_angle_alpha 90.00
_cell_angle_beta 90.00
_cell_angle_gamma 90.00
loop_
_atom_site_label
_atom_site_type_symbol
_atom_site_fract_x
_atom_site_fract_y
_atom_site_fract_z
Tl1 Tl 0.250 0.250 0.250
Hg1 Hg 0.000 0.000 0.000
Se1 Se 0.000 0.000 0.500

14.
# TlHgSe2 (PBEsol, optimized geometry)
# Crystal system   tetragonal
# Formation energy (no corrections)   0.055 eV/atom
# Total moment   0.0 μB per cell
data_TlHgSe2
_chemical_formula_sum 'Tl1 Hg1 Se2'
_space_group_name_H-M_alt 'P 4/m m m'
_space_group_IT_number 123
_space_group_name_Hall '-P 4 2'
_cell_length_a 3.856
_cell_length_b 3.856
_cell_length_c 6.375
_cell_angle_alpha 90.00
_cell_angle_beta 90.00
_cell_angle_gamma 90.00
loop_
_atom_site_label
_atom_site_type_symbol
_atom_site_fract_x
_atom_site_fract_y
_atom_site_fract_z
Tl1 Tl 0.000 0.000 0.000
Hg1 Hg 0.000 0.000 0.500
Se1 Se 0.500 0.500 0.284

15.
# TlHg2Se (PBEsol, optimized geometry)
# Crystal system   orthorhombic
# Formation energy (no corrections)   -0.017 eV/atom
# Total moment   0.0 μB per cell
data_TlHg2Se
_chemical_formula_sum 'Tl1 Hg2 Se1'
_space_group_name_H-M_alt 'P m m 2'
_space_group_IT_number 25
_cell_length_a 3.180
_cell_length_b 3.948
_cell_length_c 7.879
_cell_angle_alpha 90.00
_cell_angle_beta 90.00
_cell_angle_gamma 90.00
loop_
_space_group_symop_operation_xyz
'x,y,z'
'-x,-y,z'
'-x,y,z'
'x,-y,z'
loop_
_atom_site_label
_atom_site_type_symbol
_atom_site_fract_x
_atom_site_fract_y
_atom_site_fract_z
Tl1 Tl 0.000 0.000 0.000
Hg1 Hg 0.000 0.000 0.522
Hg2 Hg 0.500 0.500 0.291
Se1 Se 0.500 0.500 0.763